VASP calculation (PBE) on crystalline La2CoSe at its relaxed geometry.

a b c (Å): 6.2625 6.2625 6.2625
angles (deg): 141.23 141.23 55.99
With the nearest neighbours (Å) after each atom.
Fractional positions:
La 0.0000 0.0000 0.0000  4 Co 2.94
La 0.7500 0.2500 0.5000  4 Se 2.94
Co 0.5000 0.5000 0.0000  4 La 2.94
Se 0.2500 0.7500 0.5000  4 La 2.94

## Properties
As for the uncorrected formation energy: -617 meV per atom. As for the space-group type: No. 119. The total energy comes out at -5.728 eV per atom. The total magnetization comes out at 0.00 μB per cell.

VASP calculation (PBE) on crystalline HfPF3 at its relaxed geometry.

a b c (Å): 4.2908 4.2908 4.2908
angles (deg): 90.00 90.00 90.00
With the nearest neighbours (Å) after each atom.
Fractional positions:
Hf 0.0000 0.0000 0.0000  12 F 3.03
P 0.5000 0.5000 0.5000  6 F 2.15
F 0.0000 0.5000 0.5000  2 P 2.15
F 0.5000 0.0000 0.5000  2 P 2.15
F 0.5000 0.5000 0.0000  2 P 2.15

## Properties
As for the energy above the most stable polymorph in this dataset: 1.551 eV per atom. As for the uncorrected formation energy: -371 meV per atom. As for the space-group type: No. 221. The total energy comes out at -4.566 eV per atom. The total magnetization comes out at 0.00 μB per cell.

VASP calculation (PBE) on crystalline Cd3Mo5 at its relaxed geometry.

a b c (Å): 7.9832 7.9832 7.9504
angles (deg): 95.63 95.63 142.55
With the nearest neighbours (Å) after each atom.
Fractional positions:
Cd 0.1842 0.8158 0.0000  10 Mo 2.75-3.07
Cd 0.2712 0.7288 0.5000  2 Cd 2.64
Cd 0.3530 0.3530 0.6304  9 Mo 2.76-3.00, 1 Cd 2.91
Cd 0.6470 0.6470 0.3696  9 Mo 2.76-3.00, 1 Cd 2.91
Cd 0.7288 0.2712 0.5000  2 Cd 2.64
Cd 0.8158 0.1842 0.0000  10 Mo 2.75-3.07
Mo 0.0262 0.1944 0.3027  2 Mo 2.54-2.78, 2 Cd 2.75-2.82
Mo 0.1944 0.0262 0.3027  2 Mo 2.54-2.78, 2 Cd 2.75-2.82
Mo 0.2507 0.2507 0.0022  4 Mo 2.56-2.86
Mo 0.2671 0.5694 0.8328  2 Mo 2.53-2.78, 2 Cd 2.76-2.79
Mo 0.4306 0.7329 0.1672  2 Mo 2.53-2.78, 2 Cd 2.76-2.79
Mo 0.5694 0.2671 0.8328  2 Mo 2.53-2.78, 2 Cd 2.76-2.79
Mo 0.7329 0.4306 0.1672  2 Mo 2.53-2.78, 2 Cd 2.76-2.79
Mo 0.7493 0.7493 0.9978  4 Mo 2.56-2.86
Mo 0.8056 0.9738 0.6973  2 Mo 2.54-2.78, 2 Cd 2.75-2.82
Mo 0.9738 0.8056 0.6973  2 Mo 2.54-2.78, 2 Cd 2.75-2.82

## Properties
As for the energy above the most stable polymorph in this dataset: 0.000 eV per atom. Its formation enthalpy at 0 K is 0.552 eV/atom. As for the space-group type: No. 12. The total energy comes out at -6.561 eV per atom. The total magnetization comes out at 0.00 μB per cell.

VASP calculation (PBE) on crystalline KCa2Fe at its relaxed geometry.

a b c (Å): 5.8122 5.8122 5.8122
angles (deg): 60.00 60.00 60.00
With the nearest neighbours (Å) after each atom.
Fractional positions:
K 0.0000 0.0000 0.0000  4 Fe 3.56, 4 Ca 3.56
Ca 0.5000 0.5000 0.5000  4 Ca 3.56, 4 Fe 3.56
Ca 0.7500 0.7500 0.7500  4 Ca 3.56, 4 K 3.56
Fe 0.2500 0.2500 0.2500  4 Ca 3.56, 4 K 3.56

## Properties
As for the energy above the most stable polymorph in this dataset: 0.366 eV per atom. Its formation enthalpy at 0 K is 0.769 eV/atom. As for the space-group type: No. 216. The total energy comes out at -2.622 eV per atom. The total magnetization comes out at 2.81 μB per cell.

VASP calculation (PBE) on crystalline AlCd4P at its relaxed geometry.

a b c (Å): 5.7451 5.7451 5.7451
angles (deg): 60.00 60.00 60.00
With the nearest neighbours (Å) after each atom.
Fractional positions:
Al 0.0000 0.0000 0.0000  12 Cd 3.37, 4 P 3.52
Cd 0.1256 0.6248 0.6248  6 Cd 2.87-2.88
Cd 0.6248 0.1256 0.6248  6 Cd 2.87-2.88
Cd 0.6248 0.6248 0.1256  6 Cd 2.87-2.88
Cd 0.6248 0.6248 0.6248  6 Cd 2.87-2.88
P 0.2500 0.2500 0.2500  12 Cd 3.37, 4 Al 3.52

## Properties
Its formation enthalpy at 0 K is 0.433 eV/atom. As for the space-group type: No. 216. The total energy comes out at -1.702 eV per atom. The total magnetization comes out at 0.00 μB per cell.

VASP calculation (PBE) on crystalline BeAu2Br2 at its relaxed geometry.

a b c (Å): 7.7337 7.7337 7.7337
angles (deg): 149.25 149.25 44.05
With the nearest neighbours (Å) after each atom.
Fractional positions:
Be 0.0000 0.0000 0.0000  8 Au 3.17
Au 0.4114 0.4114 0.0000  1 Au 2.54
Au 0.5886 0.5886 0.0000  1 Au 2.54
Br 0.2500 0.7500 0.5000  4 Br 2.90, 4 Au 3.09
Br 0.7500 0.2500 0.5000  4 Br 2.90, 4 Au 3.09

## Properties
As for the energy above the most stable polymorph in this dataset: 0.611 eV per atom. As for the uncorrected formation energy: 849 meV per atom. As for the space-group type: No. 139. The total energy comes out at -1.877 eV per atom. The total magnetization comes out at 0.00 μB per cell.

VASP calculation (PBE) on crystalline AcTb4Sm8 at its relaxed geometry.

a b c (Å): 10.4465 10.4465 10.4465
angles (deg): 41.55 41.55 41.55
With the nearest neighbours (Å) after each atom.
Fractional positions:
Ac 0.0000 0.0000 0.0000  6 Sm 3.12
Tb 0.0000 0.0000 0.5000  4 Sm 3.58, 6 Tb 3.71
Tb 0.0000 0.5000 0.0000  4 Sm 3.58, 6 Tb 3.71
Tb 0.5000 0.0000 0.0000  4 Sm 3.58, 6 Tb 3.71
Tb 0.5000 0.5000 0.5000  6 Sm 3.34, 6 Tb 3.71
Sm 0.2566 0.2566 0.6973  1 Ac 3.12, 2 Sm 3.27, 1 Tb 3.34
Sm 0.2566 0.6973 0.2566  1 Ac 3.12, 2 Sm 3.27, 1 Tb 3.34
Sm 0.2857 0.2857 0.2857  9 Sm 3.77-3.86, 3 Tb 4.02
Sm 0.3027 0.7434 0.7434  1 Ac 3.12, 2 Sm 3.27, 1 Tb 3.34
Sm 0.6973 0.2566 0.2566  1 Ac 3.12, 2 Sm 3.27, 1 Tb 3.34
Sm 0.7143 0.7143 0.7143  9 Sm 3.77-3.86, 3 Tb 4.02
Sm 0.7434 0.3027 0.7434  1 Ac 3.12, 2 Sm 3.27, 1 Tb 3.34
Sm 0.7434 0.7434 0.3027  1 Ac 3.12, 2 Sm 3.27, 1 Tb 3.34

## Properties
Its formation enthalpy at 0 K is 0.241 eV/atom. As for the space-group type: No. 166. The total energy comes out at -4.404 eV per atom. The total magnetization comes out at 0.00 μB per cell.

VASP calculation (PBE) on crystalline MgRuO3 at its relaxed geometry.

a b c (Å): 3.8607 3.8607 3.8607
angles (deg): 90.00 90.00 90.00
With the nearest neighbours (Å) after each atom.
Fractional positions:
Mg 0.0000 0.0000 0.0000  12 O 2.73
Ru 0.5000 0.5000 0.5000  6 O 1.93
O 0.0000 0.5000 0.5000  2 Ru 1.93
O 0.5000 0.0000 0.5000  2 Ru 1.93
O 0.5000 0.5000 0.0000  2 Ru 1.93

## Properties
As for the uncorrected formation energy: -1036 meV per atom. As for the space-group type: No. 221. The total energy comes out at -6.185 eV per atom. The total magnetization comes out at 1.94 μB per cell.

VASP calculation (PBE) on crystalline Re3P at its relaxed geometry.

a b c (Å): 4.9609 4.9609 4.9609
angles (deg): 116.40 116.40 116.40
With the nearest neighbours (Å) after each atom.
Fractional positions:
Re 0.0000 0.5000 0.5000  6 Re 2.61-2.86, 2 P 2.61
Re 0.5000 0.0000 0.5000  2 P 2.61, 6 Re 2.61-2.86
Re 0.5000 0.5000 0.0000  6 Re 2.61-2.86, 2 P 2.61
P 0.0000 0.0000 0.0000  6 Re 2.61, 2 P 2.86

## Properties
As for the energy above the most stable polymorph in this dataset: 0.584 eV per atom. Its formation enthalpy at 0 K is 0.463 eV/atom. As for the space-group type: No. 166. The total energy comes out at -10.225 eV per atom. The total magnetization comes out at 0.00 μB per cell.

VASP calculation (PBE) on crystalline TcNiBr2 at its relaxed geometry.

a b c (Å): 3.2454 3.3090 8.2887
angles (deg): 90.00 98.87 90.00
With the nearest neighbours (Å) after each atom.
Fractional positions:
Tc 0.0000 0.0000 0.0000  3 Br 2.49-2.54, 4 Ni 2.60
Ni 0.4440 0.5000 0.8572  4 Tc 2.60, 4 Br 2.69-2.70
Br 0.0891 0.5000 0.2273  2 Tc 2.49
Br 0.8790 0.0000 0.6894  1 Tc 2.54, 4 Ni 2.69-2.70

## Properties
As for the energy above the most stable polymorph in this dataset: 0.028 eV per atom. As for the uncorrected formation energy: 191 meV per atom. As for the space-group type: No. 6. The total energy comes out at -4.682 eV per atom. The total magnetization comes out at 0.57 μB per cell.

VASP calculation (PBE) on crystalline BaAg3S3 at its relaxed geometry.

a b c (Å): 10.3643 10.3643 4.1207
angles (deg): 90.00 90.00 120.00
With the nearest neighbours (Å) after each atom.
Fractional positions:
Ba 0.3333 0.6667 0.2500  6 S 3.20
Ba 0.6667 0.3333 0.7500  6 S 3.20
Ag 0.0285 0.6972 0.7500  3 S 2.45-2.48
Ag 0.3028 0.3313 0.7500  3 S 2.45-2.48
Ag 0.3313 0.0285 0.2500  3 S 2.45-2.48
Ag 0.6687 0.9715 0.7500  3 S 2.45-2.48
Ag 0.6972 0.6687 0.2500  3 S 2.45-2.48
Ag 0.9715 0.3028 0.2500  3 S 2.45-2.48
S 0.1188 0.4133 0.7500  3 Ag 2.45-2.48
S 0.2945 0.8812 0.7500  3 Ag 2.45-2.48
S 0.4133 0.2945 0.2500  3 Ag 2.45-2.48
S 0.5867 0.7055 0.7500  3 Ag 2.45-2.48
S 0.7055 0.1188 0.2500  3 Ag 2.45-2.48
S 0.8812 0.5867 0.2500  3 Ag 2.45-2.48

## Properties
As for the energy above the most stable polymorph in this dataset: 0.000 eV per atom. As for the uncorrected formation energy: -575 meV per atom. As for the space-group type: No. 176. The total energy comes out at -3.840 eV per atom. The total magnetization comes out at 0.00 μB per cell.

VASP calculation (PBE) on crystalline Mg2ScBr at its relaxed geometry.

a b c (Å): 5.6672 5.6672 3.4043
angles (deg): 90.12 90.12 117.66
With the nearest neighbours (Å) after each atom.
Fractional positions:
Mg 0.0000 0.5000 0.0000  2 Mg 2.93
Mg 0.5000 0.0000 0.0000  2 Mg 2.93
Sc 0.0000 0.0000 0.5000  2 Br 2.93
Br 0.5000 0.5000 0.5000  2 Sc 2.93

## Properties
As for the energy above the most stable polymorph in this dataset: 0.157 eV per atom. As for the uncorrected formation energy: -218 meV per atom. As for the space-group type: No. 12. The total energy comes out at -3.016 eV per atom. The total magnetization comes out at 0.01 μB per cell.